Here is crystalline Na2TlMoF8 at its relaxed geometry from Alexandria via LeMat-Bulk. Energies are from PBE+U.

Values from the calculation:
VASP energy   -56.2 eV/cell
Density of states at the Fermi level   0.22 states/eV/atom
M_tot   1.41 μB/cell

abc: 4.8929 5.2897 7.4870
angles: 89.44 90.53 91.18
Closest atoms and distances in Å follow each position.
Positions (direct):
Na 0.4966 0.5048 0.7515  6 F 2.29-2.45
F 0.3260 0.3055 0.5012  1 Tl 2.25, 2 Na 2.30
Na 0.5034 0.4952 0.2485  6 F 2.29-2.45
F 0.1940 0.8157 0.1932  1 Mo 1.98
F 0.1851 0.8155 0.7964  1 Mo 2.05
F 0.8149 0.1845 0.2036  1 Mo 2.05
Mo 0.0000 0.0000 0.0000  6 F 1.98-2.05
F 0.6740 0.6945 0.4988  1 Tl 2.25, 2 Na 2.30
F 0.2841 0.2716 0.0000  1 Mo 1.98
Tl 0.0000 0.0000 0.5000  2 F 2.25
F 0.8060 0.1843 0.8068  1 Mo 1.98
F 0.7159 0.7284 0.0000  1 Mo 1.98